This record from the Alexandria database describes a relaxed structure of TbEr3Pt. The functional is PBE-GGA.

Cell and atoms, written as POSCAR:
```
TbEr3Pt
1.0
6.383 0.000 0.000
0.000 5.078 0.000
-1.071 0.000 8.621
Tb Er Pt
2 6 2
Direct
0.109 0.250 0.286
0.891 0.750 0.714
0.230 0.250 0.740
0.286 0.750 0.057
0.324 0.750 0.480
0.676 0.250 0.520
0.714 0.250 0.943
0.770 0.750 0.260
0.468 0.750 0.789
0.532 0.250 0.211
```

Output
SG	P2_1/m, No. 11
formation energy from the elements	-0.487	eV per atom